Computed, not measured: V2ZnSbO6 after structural relaxation at the PBE+U level of DFT.

The space group is P1 (No. 1) and the conventional cell measures 5.347, 5.360 and 5.497 Å, with angles of 91.10, 118.05 and 119.01 degrees. The inequivalent atoms are V at (0.000, 0.000, 0.000), V at (0.014, 0.505, 0.513), Zn at (0.551, 0.781, 0.331), Sb at (0.566, 0.280, 0.861), O at (0.084, 0.232, 0.725), O at (0.094, 0.380, 0.219), O at (0.500, 0.839, 0.705), O at (0.515, 0.133, 0.209), O at (0.833, 0.715, 0.208) and O at (0.927, 0.665, 0.727).

Its size of the total moment is 3.0 Bohr magnetons per cell. The calculated density comes out at 5.6 g cm⁻³. Its electronic total energy is -6.634 eV per atom.